First-principles (PBE) data for a geometry-optimized Fe2Tc2W structure, as listed in Alexandria via LeMat-Bulk.

Properties
Calculated formation energy in eV per atom: 0.162

a b c (Å): 7.0331 7.0331 2.7000
angles (deg): 90.00 90.00 90.00
Fractional positions:
Fe  0.1217  0.3783  0.0000
Fe  0.3783  0.8783  0.0000
Fe  0.6217  0.1217  0.0000
Fe  0.8783  0.6217  0.0000
Tc  0.1730  0.6730  0.5000
Tc  0.3270  0.1730  0.5000
Tc  0.6730  0.8270  0.5000
Tc  0.8270  0.3270  0.5000
W  0.0000  0.0000  0.0000
W  0.5000  0.5000  0.0000